The following is a DFT calculation (PBE-GGA) of ZnAgBr after structural relaxation.

Summary:
The symmetry is P3m1 (156). The calculation puts the offset from the most stable computed form at 0.0000 eV/atom. The calculation puts the electronic total energy at -2.08 eV/atom. The calculation puts the formation energy (no corrections) at -0.145 eV/atom. For the magnetic moment, the calculation gives 0.0000 μB per atom.

```
ZnAgBr
1.0
3.5984 0.0000 0.0000
-1.7992 3.1163 0.0000
0.0000 0.0000 5.8330
Ag Br Zn
1 1 1
Direct
0.0000 0.0000 0.9634
0.6667 0.3333 0.3639
0.3333 0.6667 0.6728
```



The following is a DFT calculation (PBE-GGA) of Zn2AgBr after structural relaxation.

Summary:
The symmetry is R-3m (166). The calculation puts the offset from the most stable computed form at 0.0130 eV/atom. The calculation puts the electronic total energy at -1.81 eV/atom. The calculation puts the formation energy (no corrections) at -0.045 eV/atom. For the magnetic moment, the calculation gives 0.0000 μB per atom.

```
Zn2AgBr
1.0
-2.6126 -3.9947 6.4754
-1.5655 -6.5666 4.3753
0.7523 -4.8798 6.3511
Ag Br Zn
1 1 2
Direct
0.2500 0.2500 0.2500
0.7500 0.7500 0.7500
0.9966 0.9966 0.9966
0.5034 0.5034 0.5034
```



The following is a DFT calculation (PBE-GGA) of ZnAg2Br after structural relaxation.

Summary:
The symmetry is F-43m (216). The calculation puts the offset from the most stable computed form at 0.3882 eV/atom. The calculation puts the electronic total energy at -1.82 eV/atom. The calculation puts the formation energy (no corrections) at 0.347 eV/atom. For the magnetic moment, the calculation gives 0.0000 μB per atom.

```
ZnAg2Br
1.0
4.9434 0.0000 0.0000
2.4717 4.2811 0.0000
2.4717 1.4270 4.0363
Ag Br Zn
2 1 1
Direct
0.0000 0.0000 0.0000
0.2500 0.2500 0.2500
0.5000 0.5000 0.5000
0.7500 0.7500 0.7500
```



> What is the offset from the most stable computed form in the second record?

0.0130 eV/atom